## ScCuAgHg (GGA-PBE)

Data for ScCuAgHg after structural relaxation.

Cell: 6.6125 6.6125 6.6125 Å, 90.00 90.00 90.00°
Last column: nearest neighbours and their distance in Å.
Space group F-43m (No. 216)
Unique sites:
Sc 0.0000 0.0000 0.0000 x4  4 Hg 2.86, 4 Ag 2.86
Cu 0.0000 0.0000 0.5000 x4  4 Hg 2.86, 4 Ag 2.86
Ag 0.2500 0.2500 0.2500 x4  4 Sc 2.86, 4 Cu 2.86
Hg 0.2500 0.2500 0.7500 x4  4 Sc 2.86, 4 Cu 2.86

Computed properties:
E in eV/f.u.: -13.8
Calculated volume in Å³/atom: 18.07
ΔE_f in kJ/mol of atoms: -15.5
Magnetic moment in μB/atom: 0.00
Polymorph energy (0 for the lowest one) in meV/atom: 13

## TePtPbO (GGA-PBE)

Data for TePtPbO after structural relaxation.

Cell: 6.8903 9.1897 5.7705 Å, 90.00 90.00 90.00°
Last column: nearest neighbours and their distance in Å.
Space group Pca2_1 (No. 29)
Unique sites:
Te 0.0790 0.0655 0.0000 x4  2 Pt 2.55-2.63
Pt 0.2479 0.2607 0.7361 x4  1 O 2.19
Pb 0.1129 0.6360 0.0003 x4  3 O 2.27-2.49
O 0.1373 0.4824 0.6938 x4  1 Pt 2.19, 2 Pb 2.27-2.32

Computed properties:
E in eV/f.u.: -19.5
Calculated volume in Å³/atom: 22.84
Magnetic moment in μB/atom: 0.00
Polymorph energy (0 for the lowest one) in meV/atom: 209

## TbYSbCl2 (GGA-PBE)

Data for TbYSbCl2 after structural relaxation.

Cell: 4.1714 4.1714 10.5331 Å, 90.00 90.00 120.00°
Last column: nearest neighbours and their distance in Å.
Space group P3m1 (No. 156)
Unique sites:
Tb 0.0000 0.0000 0.0000 x1  3 Cl 2.85, 3 Sb 2.99
Y 0.3333 0.6667 0.3364 x1  3 Cl 2.85, 3 Sb 2.99
Sb 0.6667 0.3333 0.1688 x1  3 Y 2.99, 3 Tb 2.99
Cl 0.0000 0.0000 0.4813 x1  3 Y 2.85
Cl 0.3333 0.6667 0.8550 x1  3 Tb 2.85

Computed properties:
E in eV/f.u.: -27.1
Calculated volume in Å³/atom: 31.75
Magnetic moment in μB/atom: 0.00

## BeReTc (GGA-PBE)

Data for BeReTc after structural relaxation.

Cell: 5.7093 5.7093 5.7093 Å, 90.00 90.00 90.00°
Last column: nearest neighbours and their distance in Å.
Space group F-43m (No. 216)
Unique sites:
Be 0.0000 0.0000 0.0000 x4  4 Tc 2.47
Re 0.0000 0.0000 0.5000 x4  4 Tc 2.47
Tc 0.2500 0.2500 0.2500 x4  4 Re 2.47, 4 Be 2.47

Computed properties:
E in eV/f.u.: -24.9
Calculated volume in Å³/atom: 15.51
Magnetic moment in μB/atom: 0.00
Polymorph energy (0 for the lowest one) in meV/atom: 0

## HfCo2B (GGA-PBE)

Data for HfCo2B after structural relaxation.

Cell: 5.7785 5.7785 5.7785 Å, 90.00 90.00 90.00°
Last column: nearest neighbours and their distance in Å.
Space group F-43m (No. 216)
Unique sites:
Hf 0.0000 0.0000 0.0000 x4  4 B 2.50, 4 Co 2.50
Co 0.0000 0.0000 0.5000 x4  4 Co 2.50, 4 B 2.50
Co 0.2500 0.2500 0.7500 x4  4 Hf 2.50, 4 Co 2.50
B 0.2500 0.2500 0.2500 x4  4 Hf 2.50, 4 Co 2.50

Computed properties:
E in eV/f.u.: -30.1
Calculated volume in Å³/atom: 12.06
Magnetic moment in μB/atom: 0.00

## PrYIn (GGA-PBE)

Data for PrYIn after structural relaxation.

Cell: 7.4692 7.4692 7.4692 Å, 90.00 90.00 90.00°
Last column: nearest neighbours and their distance in Å.
Space group F-43m (No. 216)
Unique sites:
Pr 0.0000 0.0000 0.0000 x4  4 In 3.23
Y 0.0000 0.0000 0.5000 x4  4 In 3.23
In 0.2500 0.2500 0.2500 x4  4 Pr 3.23, 4 Y 3.23

Computed properties:
E in eV/f.u.: -14.3
Calculated volume in Å³/atom: 34.72
Magnetic moment in μB/atom: 0.13
Polymorph energy (0 for the lowest one) in meV/atom: 0

## CsDyAgSe3 (GGA-PBE)

Data for CsDyAgSe3 after structural relaxation.

Cell: 4.1421 16.1612 10.8803 Å, 90.00 90.00 90.00°
Last column: nearest neighbours and their distance in Å.
Space group Cmcm (No. 63)
Unique sites:
Cs 0.0000 0.2483 0.2500 x4  8 Se 3.63-3.80, 2 Ag 4.02
Dy 0.0000 0.5000 0.0000 x4  6 Se 2.89-2.91
Ag 0.0000 0.0388 0.7500 x4  4 Se 2.61-2.65
Se 0.0000 0.1210 0.5432 x8  1 Ag 2.61, 2 Dy 2.89
Se 0.0000 0.4365 0.7500 x4  2 Ag 2.65, 2 Dy 2.91

Computed properties:
E in eV/f.u.: -25.6
Calculated volume in Å³/atom: 30.35
Magnetic moment in μB/atom: 0.00

## Cs2NaHgF6 (GGA-PBE)

Data for Cs2NaHgF6 after structural relaxation.

Cell: 10.7444 6.2688 6.1693 Å, 90.00 124.85 90.00°
Last column: nearest neighbours and their distance in Å.
Space group C2/m (No. 12)
Unique sites:
Cs 0.2487 0.0000 0.2492 x4  12 F 3.08-3.13
Na 0.0000 0.0000 0.5000 x2  6 F 2.21
Hg 0.0000 0.5000 0.0000 x2  6 F 2.19-2.20
F 0.9999 0.2526 0.2501 x8  1 Hg 2.19, 1 Na 2.21
F 0.2493 0.5000 0.2486 x4  1 Hg 2.20, 1 Na 2.21

Computed properties:
E in eV/f.u.: -35.8
Calculated volume in Å³/atom: 17.05
Polymorph energy (0 for the lowest one) in meV/atom: 4

## ErHfNb (GGA-PBE)

Data for ErHfNb after structural relaxation.

Cell: 6.7704 6.7704 6.7704 Å, 90.00 90.00 90.00°
Last column: nearest neighbours and their distance in Å.
Space group F-43m (No. 216)
Unique sites:
Er 0.0000 0.0000 0.0000 x4  4 Nb 2.93
Hf 0.0000 0.0000 0.5000 x4  4 Nb 2.93
Nb 0.2500 0.2500 0.2500 x4  4 Hf 2.93, 4 Er 2.93

Computed properties:
E in eV/f.u.: -22.2
Calculated volume in Å³/atom: 25.86
ΔE_f in kJ/mol of atoms: 76.5
Magnetic moment in μB/atom: 0.01
Polymorph energy (0 for the lowest one) in meV/atom: 0

## TbTmAl (GGA-PBE)

Data for TbTmAl after structural relaxation.

Cell: 7.1276 7.1276 7.1276 Å, 90.00 90.00 90.00°
Last column: nearest neighbours and their distance in Å.
Space group F-43m (No. 216)
Unique sites:
Tb 0.0000 0.0000 0.0000 x4  4 Tm 3.09
Tm 0.2500 0.2500 0.7500 x4  4 Tb 3.09, 4 Al 3.09
Al 0.0000 0.0000 0.5000 x4  4 Tm 3.09

Computed properties:
E in eV/f.u.: -11.3
Calculated volume in Å³/atom: 30.18
Magnetic moment in μB/atom: 0.01

## TaS2NF6 (GGA-PBE)

Data for TaS2NF6 after structural relaxation.

Cell: 9.2144 6.0210 5.0312 Å, 90.00 90.50 90.00°
Last column: nearest neighbours and their distance in Å.
Space group C2/m (No. 12)
Unique sites:
Ta 0.0000 0.0000 0.0000 x2  6 F 1.92
S 0.1428 0.5000 0.6397 x4  1 N 1.49
N 0.0000 0.5000 0.5000 x2  2 S 1.49
F 0.1125 0.0000 0.6810 x4  1 Ta 1.92
F 0.1256 0.2245 0.1439 x8  1 Ta 1.92

Computed properties:
E in eV/f.u.: -59.7
Calculated volume in Å³/atom: 13.96
Magnetic moment in μB/atom: 0.00

## CdGeO3 (GGA-PBE)

Data for CdGeO3 after structural relaxation.

Cell: 5.3630 8.5320 5.3481 Å, 90.00 90.00 90.00°
Last column: nearest neighbours and their distance in Å.
Space group Pnma (No. 62)
Unique sites:
Cd 0.0000 0.0000 0.0000 x4  4 O 2.16-2.25
Ge 0.0439 0.2500 0.4644 x4  4 O 1.73-1.89
O 0.1469 0.0900 0.6335 x8  1 Ge 1.73
O 0.2240 0.2500 0.1613 x4  2 Ge 1.84-1.89

Computed properties:
E in eV/f.u.: -26.7
Calculated volume in Å³/atom: 12.24